No. 1
Ti2MnGa3: relaxed, PBE-GGA.

total magnetization	0.88	μB per formula unit
energy of formation	-0.9	eV/f.u.
crystal system	orthorhombic
calculated volume	15.8	Å³ per atom

The structure in POSCAR format:
```
Ti2MnGa3
1.0
3.904 -4.649 0.000
3.904 4.649 0.000
0.000 0.000 5.216
Ti Mn Ga
4 2 6
Direct
0.055 0.589 0.500
0.411 0.945 0.500
0.589 0.055 0.000
0.945 0.411 0.000
0.313 0.687 0.000
0.687 0.313 0.500
0.054 0.946 0.999
0.327 0.327 0.250
0.327 0.327 0.750
0.673 0.673 0.250
0.673 0.673 0.750
0.946 0.054 0.499
```



No. 2
Ca2NdCd: relaxed, PBE-GGA.

E above lowest polymorph	0	meV/atom
total magnetization	0.00	μB per formula unit
energy of formation	-0.6	eV/f.u.
crystal system	monoclinic
calculated volume	34.6	Å³ per atom

The structure in POSCAR format:
```
Ca2NdCd
1.0
3.849 -3.851 0.000
3.849 3.851 0.000
-3.846 0.000 9.350
Ca Nd Cd
4 2 2
Direct
0.000 0.500 0.000
0.149 0.149 0.299
0.500 0.000 0.000
0.851 0.851 0.701
0.347 0.347 0.695
0.653 0.653 0.305
0.250 0.750 0.500
0.750 0.250 0.500
```



No. 3
Na2HfSc2Te6: relaxed, PBE-GGA.

total magnetization	0.00	μB per formula unit
formation energy without anion corrections	-1.08	eV/atom
crystal system	monoclinic
calculated volume	31.4	Å³ per atom

The structure in POSCAR format:
```
Na2HfSc2Te6
1.0
3.603 -6.227 0.000
3.603 6.227 0.000
-2.423 0.000 7.692
Na Hf Sc Te
2 1 2 6
Direct
0.167 0.833 0.000
0.833 0.167 0.000
0.000 0.000 0.500
0.332 0.668 0.500
0.668 0.332 0.500
0.077 0.404 0.720
0.258 0.258 0.282
0.404 0.077 0.720
0.596 0.923 0.280
0.742 0.742 0.718
0.923 0.596 0.280
```



No. 4
SrNd2PuO8: relaxed, PBE-GGA.

total magnetization	1.22	μB per formula unit
formation energy without anion corrections	-2.72	eV/atom
crystal system	monoclinic
calculated volume	14.8	Å³ per atom

The structure in POSCAR format:
```
SrNd2PuO8
1.0
4.223 0.000 0.000
0.000 7.734 0.000
-0.626 0.000 5.419
Sr Nd Pu O
1 2 1 8
Direct
0.000 0.000 0.000
0.500 0.252 0.500
0.500 0.748 0.500
0.000 0.500 0.000
0.051 0.299 0.764
0.051 0.701 0.764
0.422 0.500 0.215
0.489 0.000 0.733
0.511 0.000 0.267
0.578 0.500 0.785
0.949 0.299 0.236
0.949 0.701 0.236
```



No. 5
AgBPd3: relaxed, PBE-GGA.

E above lowest polymorph	142	meV/atom
total magnetization	0.00	μB per formula unit
energy of formation	-0.1	eV/f.u.
crystal system	monoclinic
calculated volume	14.2	Å³ per atom

The structure in POSCAR format:
```
AgBPd3
1.0
6.210 -4.184 0.000
6.210 4.184 0.000
-1.318 0.000 5.452
Ag B Pd
4 4 12
Direct
0.001 0.999 0.750
0.346 0.654 0.750
0.654 0.346 0.250
0.999 0.001 0.250
0.262 0.592 0.223
0.408 0.738 0.277
0.592 0.262 0.723
0.738 0.408 0.777
0.008 0.662 0.414
0.013 0.664 0.925
0.330 0.331 0.415
0.331 0.330 0.915
0.336 0.987 0.575
0.338 0.992 0.086
0.662 0.008 0.914
0.664 0.013 0.425
0.669 0.670 0.085
0.670 0.669 0.585
0.987 0.336 0.075
0.992 0.338 0.586
```



No. 6
SmDy2HoBi4: relaxed, PBE-GGA.

total magnetization	0.00	μB per formula unit
energy of formation	-6.9	eV/f.u.
crystal system	monoclinic
calculated volume	32.1	Å³ per atom

The structure in POSCAR format:
```
SmDy2HoBi4
1.0
7.781 0.000 0.000
0.000 4.496 0.000
-2.594 0.000 7.337
Sm Dy Ho Bi
1 2 1 4
Direct
0.000 0.000 0.000
0.000 0.500 0.500
0.500 0.000 0.500
0.500 0.500 0.000
0.253 0.000 0.749
0.254 0.500 0.253
0.746 0.500 0.747
0.747 0.000 0.251
```



No. 7
DyCuRh2: relaxed, PBE-GGA.

E above lowest polymorph	0	meV/atom
total magnetization	0.00	μB per formula unit
energy of formation	-1.8	eV/f.u.
crystal system	tetragonal
calculated volume	16.3	Å³ per atom

The structure in POSCAR format:
```
DyCuRh2
1.0
4.103 0.000 0.000
0.000 4.103 0.000
0.000 0.000 3.872
Dy Cu Rh
1 1 2
Direct
0.000 0.000 0.000
0.500 0.500 0.000
0.000 0.500 0.500
0.500 0.000 0.500
```



No. 8
Cs2BiRh: relaxed, PBE-GGA.

total magnetization	0.00	μB per formula unit
energy of formation	0.2	eV/f.u.
crystal system	tetragonal
calculated volume	55.0	Å³ per atom

The structure in POSCAR format:
```
Cs2BiRh
1.0
-6.518 6.518 2.589
6.518 -6.518 2.589
6.518 6.518 -2.589
Cs Bi Rh
4 2 2
Direct
0.375 0.208 0.333
0.792 0.125 0.167
0.875 0.042 0.667
0.958 0.625 0.833
0.250 0.750 0.500
0.500 0.500 0.000
0.000 0.000 0.000
0.750 0.250 0.500
```



No. 9
RbCd2Ag2Cl7: relaxed, PBE-GGA.

total magnetization	0.00	μB per formula unit
formation energy without anion corrections	-0.99	eV/atom
crystal system	orthorhombic
calculated volume	26.7	Å³ per atom

The structure in POSCAR format:
```
RbCd2Ag2Cl7
1.0
-2.721 10.822 2.723
2.721 -10.822 2.723
2.721 10.822 -2.723
Rb Cd Ag Cl
1 2 2 7
Direct
0.000 0.000 0.000
0.383 0.002 0.381
0.621 0.002 0.619
0.253 0.503 0.750
0.753 0.503 0.250
0.121 0.503 0.619
0.264 0.003 0.261
0.384 0.502 0.881
0.506 0.006 0.500
0.621 0.502 0.119
0.742 0.003 0.739
0.884 0.503 0.381
```



No. 10
LiSi2Tc: relaxed, PBE-GGA.

E above lowest polymorph	496	meV/atom
total magnetization	0.00	μB per formula unit
formation energy without anion corrections	0.20	eV/atom
crystal system	orthorhombic
calculated volume	14.3	Å³ per atom

The structure in POSCAR format:
```
LiSi2Tc
1.0
1.621 -2.155 0.000
1.621 2.155 0.000
0.000 0.000 8.161
Li Si Tc
1 2 1
Direct
0.000 0.000 0.000
0.000 0.000 0.498
0.500 0.500 0.739
0.500 0.500 0.272
```



No. 11
TbSm5Y2: relaxed, PBE-GGA.

E above lowest polymorph	112	meV/atom
total magnetization	0.00	μB per formula unit
energy of formation	1.1	eV/f.u.
crystal system	orthorhombic
calculated volume	34.0	Å³ per atom

The structure in POSCAR format:
```
TbSm5Y2
1.0
2.805 -5.974 0.000
2.805 5.974 0.000
0.000 0.000 16.218
Tb Sm Y
2 10 4
Direct
0.238 0.762 0.750
0.762 0.238 0.250
0.039 0.961 0.250
0.117 0.883 0.552
0.117 0.883 0.948
0.423 0.577 0.592
0.423 0.577 0.908
0.577 0.423 0.092
0.577 0.423 0.408
0.883 0.117 0.052
0.883 0.117 0.448
0.961 0.039 0.750
0.276 0.724 0.131
0.276 0.724 0.369
0.724 0.276 0.631
0.724 0.276 0.869
```



No. 12
HgPtS2Cl: relaxed, PBE-GGA.

E above lowest polymorph	0	meV/atom
total magnetization	0.68	μB per formula unit
formation energy without anion corrections	0.28	eV/atom
crystal system	tetragonal
calculated volume	22.3	Å³ per atom

The structure in POSCAR format:
```
HgPtS2Cl
1.0
4.749 0.000 0.000
0.000 4.749 0.000
0.000 0.000 4.948
Hg Pt S Cl
1 1 2 1
Direct
0.000 0.000 0.000
0.500 0.500 0.500
0.000 0.500 0.500
0.500 0.000 0.500
0.500 0.500 0.000
```



No. 13
UPaTe4: relaxed, PBE-GGA.

E above lowest polymorph	117	meV/atom
total magnetization	3.01	μB per formula unit
formation energy without anion corrections	-0.58	eV/atom
crystal system	orthorhombic
calculated volume	39.7	Å³ per atom

The structure in POSCAR format:
```
UPaTe4
1.0
5.139 -5.165 0.000
5.139 5.165 0.000
0.000 0.000 4.491
U Pa Te
1 1 4
Direct
0.000 0.000 0.000
0.500 0.500 0.500
0.204 0.204 0.500
0.301 0.699 0.000
0.699 0.301 0.000
0.796 0.796 0.500
```



No. 14
Mo3Pb: relaxed, PBE-GGA.

total magnetization	0.00	μB per formula unit
energy of formation	2.4	eV/f.u.
crystal system	tetragonal
calculated volume	17.5	Å³ per atom

The structure in POSCAR format:
```
Mo3Pb
1.0
-2.022 2.022 4.280
2.022 -2.022 4.280
2.022 2.022 -4.280
Mo Pb
3 1
Direct
0.000 0.000 0.000
0.250 0.750 0.500
0.750 0.250 0.500
0.500 0.500 0.000
```



No. 15
Ti4CuRu3: relaxed, PBE-GGA.

total magnetization	0.00	μB per formula unit
energy of formation	-4.6	eV/f.u.
crystal system	orthorhombic
calculated volume	14.7	Å³ per atom

The structure in POSCAR format:
```
Ti4CuRu3
1.0
3.084 0.000 0.000
0.000 4.357 0.000
0.000 0.000 8.725
Ti Cu Ru
4 1 3
Direct
0.000 0.000 0.000
0.000 0.000 0.500
0.000 0.500 0.249
0.000 0.500 0.751
0.500 0.500 0.500
0.500 0.000 0.251
0.500 0.000 0.749
0.500 0.500 0.000
```



No. 16
Ta2HgW: relaxed, PBE-GGA.

total magnetization	0.00	μB per formula unit
energy of formation	1.4	eV/f.u.
crystal system	orthorhombic
calculated volume	18.2	Å³ per atom

The structure in POSCAR format:
```
Ta2HgW
1.0
-1.730 2.304 4.562
1.730 -2.304 4.562
1.730 2.304 -4.562
Ta Hg W
2 1 1
Direct
0.000 0.000 0.000
0.749 0.249 0.500
0.487 0.487 0.000
0.230 0.730 0.500
```



No. 17
SmHo2Tl2Ag2: relaxed, PBE-GGA.

total magnetization	0.00	μB per formula unit
energy of formation	-1.2	eV/f.u.
crystal system	trigonal
calculated volume	25.8	Å³ per atom

The structure in POSCAR format:
```
SmHo2Tl2Ag2
1.0
2.457 1.419 8.648
-2.457 1.419 8.648
0.000 -2.837 8.648
Sm Ho Tl Ag
1 2 2 2
Direct
0.000 0.000 0.000
0.133 0.133 0.133
0.867 0.867 0.867
0.264 0.264 0.264
0.736 0.736 0.736
0.437 0.437 0.437
0.563 0.563 0.563
```



No. 18
Pm2Pr2Ge: relaxed, PBE-GGA.

total magnetization	0.00	μB per formula unit
energy of formation	1.4	eV/f.u.
crystal system	tetragonal
calculated volume	33.5	Å³ per atom

The structure in POSCAR format:
```
Pm2Pr2Ge
1.0
-2.143 2.143 9.116
2.143 -2.143 9.116
2.143 2.143 -9.116
Pm Pr Ge
2 2 1
Direct
0.080 0.080 0.000
0.920 0.920 0.000
0.250 0.750 0.500
0.750 0.250 0.500
0.500 0.500 0.000
```



No. 19
Dy3GeH: relaxed, PBE-GGA.

total magnetization	0.00	μB per formula unit
crystal system	monoclinic
calculated volume	22.1	Å³ per atom
uncorrected energy	-0.35438	Ry per atom

The structure in POSCAR format:
```
Dy3GeH
1.0
6.394 0.000 0.000
0.000 3.912 0.000
-1.621 0.000 8.823
Dy Ge H
6 2 2
Direct
0.083 0.250 0.344
0.275 0.750 0.069
0.401 0.750 0.633
0.599 0.250 0.367
0.725 0.250 0.931
0.917 0.750 0.656
0.215 0.250 0.829
0.785 0.750 0.171
0.336 0.750 0.349
0.664 0.250 0.651
```



No. 20
ZrSiSe2: relaxed, PBE-GGA.

total magnetization	0.00	μB per formula unit
formation energy without anion corrections	-0.30	eV/atom
crystal system	orthorhombic
calculated volume	20.3	Å³ per atom

The structure in POSCAR format:
```
ZrSiSe2
1.0
3.793 0.000 0.000
0.000 3.817 0.000
0.000 0.000 5.602
Zr Si Se
1 1 2
Direct
0.000 0.000 0.000
0.000 0.500 0.500
0.500 0.000 0.500
0.500 0.500 0.000
```



No. 21
K2TaAs: relaxed, PBE-GGA.

total magnetization	0.46	μB per formula unit
energy of formation	1.0	eV/f.u.
crystal system	monoclinic
calculated volume	35.3	Å³ per atom

The structure in POSCAR format:
```
K2TaAs
1.0
10.590 -1.817 0.000
10.590 1.817 0.000
-0.613 0.000 3.671
K Ta As
2 1 1
Direct
0.151 0.151 0.142
0.849 0.849 0.858
0.000 0.000 0.500
0.500 0.500 0.000
```



No. 22
AcTbPm5Er2: relaxed, PBE-GGA.

total magnetization	0.00	μB per formula unit
energy of formation	0.8	eV/f.u.
crystal system	orthorhombic
calculated volume	34.4	Å³ per atom

The structure in POSCAR format:
```
AcTbPm5Er2
1.0
2.903 -8.767 0.000
2.903 8.767 0.000
0.000 0.000 12.156
Ac Tb Pm Er
2 2 10 4
Direct
0.114 0.886 0.500
0.886 0.114 0.000
0.248 0.752 0.000
0.752 0.248 0.500
0.078 0.922 0.841
0.081 0.919 0.165
0.268 0.732 0.296
0.269 0.731 0.705
0.440 0.560 0.148
0.560 0.440 0.648
0.731 0.269 0.205
0.732 0.268 0.796
0.919 0.081 0.665
0.922 0.078 0.341
0.388 0.612 0.500
0.438 0.562 0.853
0.562 0.438 0.353
0.612 0.388 0.000
```



No. 23
HoSb3Se6: relaxed, PBE-GGA.

total magnetization	0.00	μB per formula unit
formation energy without anion corrections	-0.66	eV/atom
crystal system	monoclinic
calculated volume	28.8	Å³ per atom

The structure in POSCAR format:
```
HoSb3Se6
1.0
12.070 0.000 0.000
0.000 4.011 0.000
-3.169 0.000 11.915
Ho Sb Se
2 6 12
Direct
0.187 0.250 0.032
0.813 0.750 0.968
0.033 0.750 0.290
0.338 0.250 0.426
0.402 0.750 0.848
0.598 0.250 0.152
0.662 0.750 0.574
0.967 0.250 0.710
0.034 0.750 0.898
0.120 0.250 0.450
0.223 0.750 0.219
0.247 0.250 0.802
0.380 0.750 0.057
0.397 0.750 0.578
0.603 0.250 0.422
0.620 0.250 0.943
0.753 0.750 0.198
0.777 0.250 0.781
0.880 0.750 0.550
0.966 0.250 0.102
```